Entry 1:
This record from Alexandria via LeMat-Bulk describes an optimized crystal structure of InAgMo2. The functional is PBE.

Summary:
Density of states at the Fermi level = 0.35 states/eV per atom
Space-group type = Cmmm (65)
Energy relative to the elements = 167 kJ/mol of formula units

Cell: 5.314 5.314 2.790 Å, 90.00 90.00 118.18°
Positions (direct):
Ag (0.500, 0.000, 0.500)
Mo (0.000, 0.000, 0.000)
Mo (0.500, 0.500, 0.000)
In (0.000, 0.500, 0.500)

Entry 2:
This record from Alexandria via LeMat-Bulk describes an optimized crystal structure of InAgMo2. The functional is PBE.

Summary:
Density of states at the Fermi level = 0.48 states/eV per atom
Space-group type = Pmmm (47)
Energy relative to the elements = 169 kJ/mol of formula units

Cell: 2.787 4.574 5.456 Å, 90.00 90.00 90.00°
Positions (direct):
In (0.500, 0.500, 0.750)
Ag (0.500, 0.500, 0.250)
Mo (0.000, 0.000, 0.503)
Mo (0.000, 0.000, 0.997)

Entry 3:
This record from Alexandria via LeMat-Bulk describes an optimized crystal structure of InAg2Mo. The functional is PBE.

Summary:
Density of states at the Fermi level = 0.38 states/eV per atom
Space-group type = C2/m (12)
Energy relative to the elements = 140 kJ/mol of formula units

Cell: 5.205 5.805 2.792 Å, 77.98 85.88 115.53°
Positions (direct):
Ag (0.500, 0.000, 0.500)
Ag (0.000, 0.000, 0.000)
In (0.000, 0.500, 0.500)
Mo (0.500, 0.500, 0.000)

Entry 4:
This record from Alexandria via LeMat-Bulk describes an optimized crystal structure of InAgMo2. The functional is PBE.

Summary:
Density of states at the Fermi level = 0.81 states/eV per atom
Space-group type = Cmm2 (35)
Energy relative to the elements = 115 kJ/mol of formula units

Cell: 2.881 2.881 9.309 Å, 90.00 90.00 111.02°
Positions (direct):
Mo (0.000, 0.000, 0.019)
Mo (0.500, 0.500, 0.234)
Ag (0.000, 0.000, 0.490)
In (0.500, 0.500, 0.757)

Which value of energy relative to the elements does entry 1 give?
167 kJ/mol of formula units

Number 1 is which compound?
InAgMo2

Which value of density of states at the Fermi level does entry 3 give?
0.38 states/eV per atom

density of states at the Fermi level of number 4 (InAgMo2)?
0.81 states/eV per atom